Record 1
First-principles (PBE) data for a geometry-optimized BaSr2N2 structure, as listed in Alexandria. Values from VASP.

Properties
**Uncorrected energy**: -4.77 eV/atom
**Energy relative to the elements, uncorrected**: -1.9 eV/f.u.

```
&SYSTEM
  ibrav = 0, nat = 5, ntyp = 3
/
ATOMIC_SPECIES
Ba 137.33 Ba.upf
Sr 87.62 Sr.upf
N 14.01 N.upf
CELL_PARAMETERS angstrom
1.357 0.933 -3.641
-3.649 -1.571 0.430
-3.824 9.133 0.917
ATOMIC_POSITIONS angstrom
Ba -1.912 4.567 0.458
Sr -1.090 1.956 -2.097
Sr -5.027 6.540 -0.196
N -2.955 6.410 -1.650
N -3.162 2.086 -0.643
```

Record 2
First-principles (PBE) data for a geometry-optimized BaSrN structure, as listed in Alexandria. Values from VASP.

Properties
**Uncorrected energy**: -4.26 eV/atom
**Energy relative to the elements, uncorrected**: -0.9 eV/f.u.

```
&SYSTEM
  ibrav = 0, nat = 6, ntyp = 3
/
ATOMIC_SPECIES
Ba 137.33 Ba.upf
Sr 87.62 Sr.upf
N 14.01 N.upf
CELL_PARAMETERS angstrom
4.130 0.000 0.000
0.000 6.710 0.000
-2.065 0.000 8.352
ATOMIC_POSITIONS angstrom
Ba 0.000 0.645 1.109
Ba 2.065 4.000 7.243
Sr 0.000 0.379 5.807
Sr 2.065 3.734 2.544
N 0.000 3.248 1.312
N 2.065 6.603 7.040
```

Record 3
First-principles (PBE) data for a geometry-optimized BaSr4N structure, as listed in Alexandria. Values from VASP.

Properties
**Uncorrected energy**: -3.01 eV/atom
**Energy relative to the elements, uncorrected**: -1.1 eV/f.u.

```
&SYSTEM
  ibrav = 0, nat = 12, ntyp = 3
/
ATOMIC_SPECIES
Ba 137.33 Ba.upf
Sr 87.62 Sr.upf
N 14.01 N.upf
CELL_PARAMETERS angstrom
-0.808 -7.005 -0.299
7.515 -0.977 2.572
-6.443 4.641 8.136
ATOMIC_POSITIONS angstrom
Ba 1.418 -4.073 6.761
Ba -1.153 0.733 3.648
Sr 2.597 -0.485 4.678
Sr -4.206 0.323 6.737
Sr 2.196 -0.285 0.752
Sr 1.045 -3.218 2.499
Sr -2.333 -2.855 5.731
Sr 4.471 -3.663 3.672
Sr 5.319 -0.691 1.821
Sr -0.781 -0.122 7.910
N 3.113 -1.797 2.672
N -2.849 -1.543 7.737
```

Record 4
First-principles (PBE) data for a geometry-optimized Ba4Sr2N structure, as listed in Alexandria. Values from VASP.

Properties
**Uncorrected energy**: -2.82 eV/atom
**Energy relative to the elements, uncorrected**: -0.4 eV/f.u.

```
&SYSTEM
  ibrav = 0, nat = 7, ntyp = 3
/
ATOMIC_SPECIES
Sr 87.62 Sr.upf
Ba 137.33 Ba.upf
N 14.01 N.upf
CELL_PARAMETERS angstrom
5.729 0.000 0.000
0.000 5.729 0.000
2.865 2.865 10.931
ATOMIC_POSITIONS angstrom
Sr 2.865 2.865 4.060
Sr 5.729 5.729 6.872
Ba 2.865 2.865 8.278
Ba 5.729 5.729 2.653
Ba 0.000 2.865 0.000
Ba 2.865 0.000 0.000
N 0.000 0.000 0.000
```

Record 5
First-principles (PBE) data for a geometry-optimized Ba2SrN2 structure, as listed in Alexandria. Values from VASP.

Properties
**Uncorrected energy**: -4.77 eV/atom
**Energy relative to the elements, uncorrected**: -1.7 eV/f.u.

```
&SYSTEM
  ibrav = 0, nat = 10, ntyp = 3
/
ATOMIC_SPECIES
Ba 137.33 Ba.upf
Sr 87.62 Sr.upf
N 14.01 N.upf
CELL_PARAMETERS angstrom
-2.838 -0.500 2.492
4.036 -0.843 4.428
-0.058 11.690 2.278
ATOMIC_POSITIONS angstrom
Ba -0.748 7.930 2.191
Ba -0.726 3.510 1.330
Ba -0.160 8.683 5.932
Ba -0.123 1.413 4.515
Sr -0.707 -0.124 0.620
Sr -0.143 5.048 5.225
N -2.134 1.497 2.230
N -2.174 9.444 3.779
N 1.285 3.426 3.615
N 1.266 7.169 4.344
```

Record 6
First-principles (PBE) data for a geometry-optimized Ba2SrN2 structure, as listed in Alexandria. Values from VASP.

Properties
**Uncorrected energy**: -4.85 eV/atom
**Energy relative to the elements, uncorrected**: -2.1 eV/f.u.

```
&SYSTEM
  ibrav = 0, nat = 5, ntyp = 3
/
ATOMIC_SPECIES
Ba 137.33 Ba.upf
Sr 87.62 Sr.upf
N 14.01 N.upf
CELL_PARAMETERS angstrom
-2.865 -1.379 2.307
0.496 -1.471 -3.608
6.615 -7.267 3.872
ATOMIC_POSITIONS angstrom
Ba -0.319 -2.975 1.169
Ba 4.566 -7.142 1.402
Sr 3.308 -3.633 1.936
N 2.626 -6.211 2.894
N 1.620 -3.906 -0.323
```

Record 7
First-principles (PBE) data for a geometry-optimized BaSrN2 structure, as listed in Alexandria. Values from VASP.

Properties
**Uncorrected energy**: -4.86 eV/atom
**Energy relative to the elements, uncorrected**: 0.8 eV/f.u.

```
&SYSTEM
  ibrav = 0, nat = 4, ntyp = 3
/
ATOMIC_SPECIES
Sr 87.62 Sr.upf
Ba 137.33 Ba.upf
N 14.01 N.upf
CELL_PARAMETERS angstrom
4.079 -2.352 0.693
-0.076 -4.452 1.681
1.162 -3.637 -2.842
ATOMIC_POSITIONS angstrom
Sr 0.000 0.000 0.000
Ba 2.583 -5.221 -0.234
N 1.291 -2.610 -0.117
N 3.874 -7.831 -0.351
```

Record 8
First-principles (PBE) data for a geometry-optimized BaSrN structure, as listed in Alexandria. Values from VASP.

Properties
**Uncorrected energy**: -4.01 eV/atom
**Energy relative to the elements, uncorrected**: -0.1 eV/f.u.

```
&SYSTEM
  ibrav = 0, nat = 3, ntyp = 3
/
ATOMIC_SPECIES
Sr 87.62 Sr.upf
Ba 137.33 Ba.upf
N 14.01 N.upf
CELL_PARAMETERS angstrom
4.780 0.000 0.000
2.390 4.139 0.000
2.390 1.380 3.903
ATOMIC_POSITIONS angstrom
Sr 4.780 2.760 1.951
Ba 0.000 0.000 0.000
N 2.390 1.380 0.976
```

Record 9
First-principles (PBE) data for a geometry-optimized BaSr3N2 structure, as listed in Alexandria. Values from VASP.

Properties
**Uncorrected energy**: -4.44 eV/atom
**Energy relative to the elements, uncorrected**: -3.0 eV/f.u.

```
&SYSTEM
  ibrav = 0, nat = 12, ntyp = 3
/
ATOMIC_SPECIES
Ba 137.33 Ba.upf
Sr 87.62 Sr.upf
N 14.01 N.upf
CELL_PARAMETERS angstrom
0.481 -2.190 3.196
-1.813 -7.539 -2.508
11.416 -4.682 -2.543
ATOMIC_POSITIONS angstrom
Ba 7.853 -9.465 -0.514
Ba 2.231 -4.946 -1.341
Sr 7.013 -10.934 -3.780
Sr 3.071 -3.477 1.924
Sr 10.977 -7.772 -2.210
Sr -0.893 -6.640 0.354
Sr 5.772 -5.187 0.346
Sr 4.313 -9.225 -2.202
N 9.002 -9.369 -3.007
N 1.082 -5.043 1.151
N 5.892 -11.180 -1.395
N 4.192 -3.231 -0.461
```

Record 10
First-principles (PBE) data for a geometry-optimized Ba3SrN structure, as listed in Alexandria. Values from VASP.

Properties
**Uncorrected energy**: -3.33 eV/atom
**Energy relative to the elements, uncorrected**: -0.9 eV/f.u.

```
&SYSTEM
  ibrav = 0, nat = 10, ntyp = 3
/
ATOMIC_SPECIES
Ba 137.33 Ba.upf
Sr 87.62 Sr.upf
N 14.01 N.upf
CELL_PARAMETERS angstrom
6.847 0.628 0.000
-0.766 8.559 0.000
0.000 0.000 8.022
ATOMIC_POSITIONS angstrom
Ba 6.238 7.367 4.012
Ba -0.157 1.820 4.009
Ba 6.238 7.367 8.020
Ba -0.157 1.820 0.002
Ba 3.783 0.385 6.016
Ba 2.297 8.803 2.005
Sr 3.020 4.626 6.016
Sr 3.061 4.562 2.005
N 6.313 0.592 6.016
N -0.233 8.595 2.005
```

Record 11
First-principles (PBE) data for a geometry-optimized BaSr2N2 structure, as listed in Alexandria. Values from VASP.

Properties
**Uncorrected energy**: -4.68 eV/atom
**Energy relative to the elements, uncorrected**: -1.5 eV/f.u.

```
&SYSTEM
  ibrav = 0, nat = 10, ntyp = 3
/
ATOMIC_SPECIES
Ba 137.33 Ba.upf
Sr 87.62 Sr.upf
N 14.01 N.upf
CELL_PARAMETERS angstrom
-2.459 0.569 2.874
-2.661 -2.465 -1.789
6.029 -11.967 7.526
ATOMIC_POSITIONS angstrom
Ba -0.058 0.013 0.068
Ba -0.717 -6.661 5.675
Sr 3.453 -7.985 5.869
Sr 1.286 -3.683 3.164
Sr 1.800 -10.629 7.399
Sr -2.061 -2.964 2.579
N 0.130 -1.632 2.057
N 4.331 -9.972 7.301
N -0.905 -5.015 3.686
N 0.922 -8.642 5.967
```

Record 12
First-principles (PBE) data for a geometry-optimized Ba7SrN3 structure, as listed in Alexandria. Values from VASP.

Properties
**Uncorrected energy**: -3.95 eV/atom
**Energy relative to the elements, uncorrected**: -3.3 eV/f.u.

```
&SYSTEM
  ibrav = 0, nat = 11, ntyp = 3
/
ATOMIC_SPECIES
Ba 137.33 Ba.upf
Sr 87.62 Sr.upf
N 14.01 N.upf
CELL_PARAMETERS angstrom
7.368 0.000 0.000
0.000 8.206 0.000
0.000 -4.103 7.107
ATOMIC_POSITIONS angstrom
Ba 7.321 -1.926 5.850
Ba 7.321 0.000 2.514
Ba 7.267 4.103 2.369
Ba 4.207 6.042 1.250
Ba 4.207 2.164 1.250
Ba 4.207 4.103 4.608
Ba 7.321 1.926 5.850
Sr 4.362 0.000 4.738
N 5.753 2.007 3.579
N 5.753 0.000 7.056
N 5.753 -2.007 3.579
```

Record 13
First-principles (PBE) data for a geometry-optimized BaSr2N2 structure, as listed in Alexandria. Values from VASP.

Properties
**Uncorrected energy**: -4.64 eV/atom
**Energy relative to the elements, uncorrected**: -1.3 eV/f.u.

```
&SYSTEM
  ibrav = 0, nat = 5, ntyp = 3
/
ATOMIC_SPECIES
Ba 137.33 Ba.upf
Sr 87.62 Sr.upf
N 14.01 N.upf
CELL_PARAMETERS angstrom
-1.870 1.792 -2.991
-1.052 -3.526 -1.455
-5.207 1.084 6.521
ATOMIC_POSITIONS angstrom
Ba 0.000 0.000 0.000
Sr -3.841 -0.790 -0.689
Sr -4.288 0.139 2.764
N -5.978 -0.720 0.689
N -2.151 0.070 1.387
```

Record 14
First-principles (PBE) data for a geometry-optimized BaSrTaN3 structure, as listed in Alexandria. Values from VASP.

Properties
**Uncorrected energy**: -7.79 eV/atom
**Energy relative to the elements, uncorrected**: -6.3 eV/f.u.

```
&SYSTEM
  ibrav = 0, nat = 12, ntyp = 4
/
ATOMIC_SPECIES
Ba 137.33 Ba.upf
Sr 87.62 Sr.upf
Ta 180.95 Ta.upf
N 14.01 N.upf
CELL_PARAMETERS angstrom
5.834 -0.051 0.000
1.190 6.087 0.000
0.595 3.044 6.066
ATOMIC_POSITIONS angstrom
Ba 2.053 3.031 3.087
Ba 5.565 6.049 2.979
Sr 2.648 6.074 5.125
Sr 4.970 3.006 0.941
Ta 4.970 3.006 5.445
Ta 2.648 6.074 0.621
N 4.411 7.827 5.624
N 0.886 4.322 5.624
N 4.970 3.006 3.493
N 3.208 1.253 0.441
N 6.733 4.758 0.441
N 2.648 6.074 2.573
```

Record 15
First-principles (PBE) data for a geometry-optimized BaSr2Tc2N6 structure, as listed in Alexandria. Values from VASP.

Properties
**Uncorrected energy**: -7.37 eV/atom
**Energy relative to the elements, uncorrected**: -5.1 eV/f.u.

```
&SYSTEM
  ibrav = 0, nat = 11, ntyp = 4
/
ATOMIC_SPECIES
Ba 137.33 Ba.upf
Sr 87.62 Sr.upf
Tc 98.00 Tc.upf
N 14.01 N.upf
CELL_PARAMETERS angstrom
-0.850 1.049 6.203
-3.612 -4.234 -3.027
6.888 -1.915 1.268
ATOMIC_POSITIONS angstrom
Ba 3.019 -0.433 3.736
Sr -1.034 -1.349 3.335
Sr 3.461 -3.751 1.109
Tc 1.222 -4.577 4.190
Tc 1.205 -0.523 0.254
N 1.187 -2.833 3.891
N -1.971 -3.711 -1.394
N 4.855 -1.955 2.494
N 4.397 -1.389 5.838
N -2.429 -3.145 1.950
N 1.239 -2.267 0.553
```

Record 16
First-principles (PBE) data for a geometry-optimized Ba2SrTc2N6 structure, as listed in Alexandria. Values from VASP.

Properties
**Uncorrected energy**: -7.46 eV/atom
**Energy relative to the elements, uncorrected**: -5.9 eV/f.u.

```
&SYSTEM
  ibrav = 0, nat = 11, ntyp = 4
/
ATOMIC_SPECIES
Ba 137.33 Ba.upf
Sr 87.62 Sr.upf
Tc 98.00 Tc.upf
N 14.01 N.upf
CELL_PARAMETERS angstrom
6.289 0.000 0.000
-3.145 5.481 -0.319
0.000 -3.511 6.499
ATOMIC_POSITIONS angstrom
Ba 3.145 1.650 1.107
Ba 0.000 0.320 5.074
Sr 3.145 -1.755 3.250
Tc 3.145 2.341 4.904
Tc 0.000 -0.370 1.277
N 3.145 0.851 3.934
N -1.668 4.116 1.028
N 1.476 -2.146 5.152
N 4.813 -2.146 5.152
N 1.668 4.116 1.028
N 0.000 1.120 2.246
```

Record 17
First-principles (PBE) data for a geometry-optimized Ba3SrTc2N6 structure, as listed in Alexandria. Values from VASP.

Properties
**Uncorrected energy**: -7.13 eV/atom
**Energy relative to the elements, uncorrected**: -7.4 eV/f.u.

```
&SYSTEM
  ibrav = 0, nat = 12, ntyp = 4
/
ATOMIC_SPECIES
Ba 137.33 Ba.upf
Sr 87.62 Sr.upf
Tc 98.00 Tc.upf
N 14.01 N.upf
CELL_PARAMETERS angstrom
6.407 0.000 0.000
-3.203 5.548 0.000
0.000 0.000 7.432
ATOMIC_POSITIONS angstrom
Ba 0.000 3.699 5.368
Ba 3.203 1.849 2.064
Ba 0.000 0.000 0.000
Sr 0.000 0.000 3.716
Tc 3.203 1.849 5.677
Tc 0.000 3.699 1.755
N 1.534 4.585 2.009
N 0.000 1.927 2.009
N -1.534 4.585 2.009
N 3.203 3.621 5.423
N 1.669 0.964 5.423
N 4.738 0.964 5.423
```

Record 18
First-principles (PBE) data for a geometry-optimized BaSrTe2N structure, as listed in Alexandria. Values from VASP.

Properties
**Uncorrected energy**: -3.93 eV/atom
**Energy relative to the elements, uncorrected**: -1.4 eV/f.u.

```
&SYSTEM
  ibrav = 0, nat = 5, ntyp = 4
/
ATOMIC_SPECIES
Sr 87.62 Sr.upf
Te 127.60 Te.upf
Ba 137.33 Ba.upf
N 14.01 N.upf
CELL_PARAMETERS angstrom
6.253 0.000 0.000
0.000 6.253 0.000
0.000 0.000 4.933
ATOMIC_POSITIONS angstrom
Sr 0.000 0.000 0.000
Te 0.000 3.127 0.000
Te 3.127 0.000 0.000
Ba 3.127 3.127 2.466
N 0.000 0.000 2.466
```

Record 19
First-principles (PBE) data for a geometry-optimized BaSrTe2N structure, as listed in Alexandria. Values from VASP.

Properties
**Uncorrected energy**: -3.61 eV/atom
**Energy relative to the elements, uncorrected**: 0.2 eV/f.u.

```
&SYSTEM
  ibrav = 0, nat = 5, ntyp = 4
/
ATOMIC_SPECIES
Sr 87.62 Sr.upf
Te 127.60 Te.upf
Ba 137.33 Ba.upf
N 14.01 N.upf
CELL_PARAMETERS angstrom
-0.995 2.273 -5.950
-6.043 -2.240 0.155
-1.484 4.130 1.826
ATOMIC_POSITIONS angstrom
Sr -4.261 2.082 -1.985
Te -3.021 -1.120 0.077
Te -0.497 1.136 -2.975
Ba 0.000 0.000 0.000
N -0.742 2.065 0.913
```

Record 20
First-principles (PBE) data for a geometry-optimized Ba2SrTlN structure, as listed in Alexandria. Values from VASP.

Properties
**Uncorrected energy**: -3.61 eV/atom
**Energy relative to the elements, uncorrected**: -1.8 eV/f.u.

```
&SYSTEM
  ibrav = 0, nat = 5, ntyp = 4
/
ATOMIC_SPECIES
Sr 87.62 Sr.upf
Tl 204.38 Tl.upf
Ba 137.33 Ba.upf
N 14.01 N.upf
CELL_PARAMETERS angstrom
5.719 0.000 0.000
0.000 5.719 0.000
0.000 0.000 5.203
ATOMIC_POSITIONS angstrom
Sr 0.000 0.000 2.601
Tl 2.859 2.859 2.601
Ba 0.000 2.859 0.000
Ba 2.859 0.000 0.000
N 0.000 0.000 0.000
```